Record 1
A plane-wave DFT calculation with PBE-GGA was carried out for BeH4NCl3 after structural relaxation.

Cell and atoms, written as POSCAR:
```
BeH4NCl3
1.0
5.4516 0.0000 0.0000
1.1626 5.5074 0.0000
1.5282 1.2936 5.5417
Be H N Cl
1 4 1 3
direct
0.0000 0.0000 0.0000
0.2760 0.4087 0.5419
0.3925 0.5496 0.2496
0.5398 0.5533 0.4664
0.5592 0.2821 0.3861
0.4419 0.4481 0.4117
0.3078 0.7813 0.9036
0.7968 0.9189 0.3243
0.9067 0.3106 0.7866
```

Output
- N(E_F) (states/eV/f.u.) = 0.00
- symmetry = P1, No. 1
- relative energy among the computed polymorphs (meV/atom) = 11

Record 2
A plane-wave DFT calculation with PBE-GGA was carried out for Ca3Mg5 after structural relaxation.

Cell and atoms, written as POSCAR:
```
Ca3Mg5
1.0
7.7786 0.0000 0.0000
0.0000 7.7786 0.0000
0.0000 0.0000 7.7786
Ca Mg
6 10
direct
0.0000 0.0000 0.5000
0.0000 0.5000 0.0000
0.0000 0.5000 0.5000
0.5000 0.0000 0.0000
0.5000 0.0000 0.5000
0.5000 0.5000 0.0000
0.0000 0.0000 0.0000
0.2500 0.2500 0.2500
0.2500 0.2500 0.7500
0.2500 0.7500 0.2500
0.2500 0.7500 0.7500
0.5000 0.5000 0.5000
0.7500 0.2500 0.2500
0.7500 0.2500 0.7500
0.7500 0.7500 0.2500
0.7500 0.7500 0.7500
```

Output
- N(E_F) (states/eV/f.u.) = 6.11
- symmetry = Im-3m, No. 229
- relative energy among the computed polymorphs (meV/atom) = 3
- ΔE_f (eV/atom) = -0.0302

Record 3
A plane-wave DFT calculation with PBE-GGA was carried out for Ba3Sr3Np2 after structural relaxation.

Cell and atoms, written as POSCAR:
```
Ba3Sr3Np2
1.0
6.5649 0.0000 0.0000
0.0000 6.5649 0.0000
0.0000 0.0000 9.1455
Ba Sr Np
3 3 2
direct
0.0000 0.0000 0.0000
0.0000 0.0000 0.5000
0.5000 0.5000 0.0000
0.0000 0.5000 0.7453
0.5000 0.0000 0.2547
0.5000 0.5000 0.5000
0.0000 0.5000 0.2532
0.5000 0.0000 0.7468
```

Output
- N(E_F) (states/eV/f.u.) = 30.58
- symmetry = P-4m2, No. 115
- ΔE_f (eV/atom) = 0.6944

Record 4
A plane-wave DFT calculation with PBE-GGA was carried out for HoErOsPd after structural relaxation.

Cell and atoms, written as POSCAR:
```
HoErOsPd
1.0
6.8475 0.0000 0.0000
0.0000 6.8475 0.0000
0.0000 0.0000 6.8475
Ho Er Os Pd
4 4 4 4
direct
0.0000 0.0000 0.0000
0.0000 0.5000 0.5000
0.5000 0.0000 0.5000
0.5000 0.5000 0.0000
0.0000 0.0000 0.5000
0.0000 0.5000 0.0000
0.5000 0.0000 0.0000
0.5000 0.5000 0.5000
0.2500 0.2500 0.7500
0.2500 0.7500 0.2500
0.7500 0.2500 0.2500
0.7500 0.7500 0.7500
0.2500 0.2500 0.2500
0.2500 0.7500 0.7500
0.7500 0.2500 0.7500
0.7500 0.7500 0.2500
```

Output
- N(E_F) (states/eV/f.u.) = 1.93
- symmetry = F-43m, No. 216
- relative energy among the computed polymorphs (meV/atom) = 27
- ΔE_f (eV/atom) = -0.5834

| no. | total DFT energy (no corrections) (eV for the cell shown) |
| --- | --- |
| 1 | -39.14 |
| 2 | -28.44 |
| 3 | -31.14 |
| 4 | -111.59 |